(1)
Density functional theory data (GGA+U) for NaVPbF6 after structural relaxation.

a = 5.6886 Å, b = 5.6886 Å, c = 10.2015 Å
α = 90.00°, β = 90.00°, γ = 120.00°
Last column: nearest neighbours and their distance in Å.
Sites, in units of the cell vectors:
1 Na 0.3333 0.6667 0.2500  6 F 2.31
2 Na 0.6667 0.3333 0.7500  6 F 2.31
3 V 0.6667 0.3333 0.2500  6 F 1.99
4 V 0.3333 0.6667 0.7500  6 F 1.99
5 Pb 0.0000 0.0000 0.0000  6 F 2.50
6 Pb 0.0000 0.0000 0.5000  6 F 2.50
7 F 0.6630 0.6200 0.1405  1 V 1.99
8 F 0.9570 0.3370 0.1405  1 V 1.99
9 F 0.3370 0.9570 0.6405  1 V 1.99
10 F 0.0430 0.6630 0.8595  1 V 1.99
11 F 0.3800 0.3370 0.3595  1 V 1.99
12 F 0.9570 0.6200 0.3595  1 V 1.99
13 F 0.6200 0.9570 0.8595  1 V 1.99
14 F 0.6630 0.0430 0.3595  1 V 1.99
15 F 0.0430 0.3800 0.6405  1 V 1.99
16 F 0.3800 0.0430 0.1405  1 V 1.99
17 F 0.6200 0.6630 0.6405  1 V 1.99
18 F 0.3370 0.3800 0.8595  1 V 1.99

Summary:
Uncorrected energy   -5.36 eV/atom
Size of the total moment   0.222 μB/atom
Calculated volume   286 Å³ per cell

***

(2)
Density functional theory data (GGA+U) for UCuWO6 after structural relaxation.

a = 5.5083 Å, b = 5.5083 Å, c = 9.0769 Å
α = 90.00°, β = 90.00°, γ = 120.00°
Last column: nearest neighbours and their distance in Å.
Sites, in units of the cell vectors:
1 U 0.6667 0.3333 0.2500  6 O 2.17
2 U 0.3333 0.6667 0.7500  6 O 2.17
3 Cu 0.0000 0.0000 0.0000  6 O 2.31
4 Cu 0.0000 0.0000 0.5000  6 O 2.31
5 W 0.3333 0.6667 0.2500  6 O 1.97
6 W 0.6667 0.3333 0.7500  6 O 1.97
7 O 0.6292 0.6567 0.1335  1 W 1.97, 1 U 2.17
8 O 0.0276 0.3708 0.1335  1 W 1.97, 1 U 2.17
9 O 0.3708 0.0276 0.6335  1 W 1.97, 1 U 2.17
10 O 0.9724 0.6292 0.8665  1 W 1.97, 1 U 2.17
11 O 0.3433 0.3708 0.3665  1 W 1.97, 1 U 2.17
12 O 0.0276 0.6567 0.3665  1 W 1.97, 1 U 2.17
13 O 0.6567 0.0276 0.8665  1 W 1.97, 1 U 2.17
14 O 0.6292 0.9724 0.3665  1 W 1.97, 1 U 2.17
15 O 0.9724 0.3433 0.6335  1 W 1.97, 1 U 2.17
16 O 0.3433 0.9724 0.1335  1 W 1.97, 1 U 2.17
17 O 0.6567 0.6292 0.6335  1 W 1.97, 1 U 2.17
18 O 0.3708 0.3433 0.8665  1 W 1.97, 1 U 2.17

Summary:
Uncorrected energy   -7.86 eV/atom
Size of the total moment   0.112 μB/atom
Calculated volume   239 Å³ per cell

***

Question: calculated volume of number 2 (UCuWO6)?
Answer: 239 Å³ per cell